No. 1
Ac2IrRh2: optimized geometry, GGA-PBE.

```
10
Lattice="5.5614 -2.1969 0.0000 5.5614 2.1969 0.0000 -4.8330 0.0000 10.3814" Properties=species:S:1:pos:R:3 pbc="T T T"
Ac -0.8279 0.0000 4.0531
Ac -0.8105 0.0000 8.9832
Ac 7.1001 0.0000 1.3983
Ac 7.1175 0.0000 6.3283
Ir 3.8158 0.0000 1.9412
Ir 2.4739 0.0000 8.4402
Rh -3.9529 0.0000 9.4237
Rh 2.4099 0.0000 4.1009
Rh 3.8798 0.0000 6.2805
Rh 10.2425 0.0000 0.9577
```

Calculated volume = 127 Å³/f.u.
Crystal system = monoclinic
Calculated total energy = -6.876 eV/atom
Mass density = 11.2 g/cm³


No. 2
CuAs3Cl: optimized geometry, GGA-PBE.

```
5
Lattice="4.7725 0.0000 0.0000 0.0000 4.7725 0.0000 0.0000 0.0000 4.7725" Properties=species:S:1:pos:R:3 pbc="T T T"
Cu 0.0000 0.0000 0.0000
As 0.0000 0.0000 2.3862
As 0.0000 2.3862 0.0000
As 2.3862 0.0000 0.0000
Cl 2.3862 2.3862 2.3862
```

Calculated volume = 109 Å³/f.u.
Crystal system = cubic
Energy relative to the elements, uncorrected = 322 kJ/mol of formula units
Calculated total energy = -3.310 eV/atom
Mass density = 4.9 g/cm³


No. 3
Ca2Re2N5: optimized geometry, GGA-PBE.

```
9
Lattice="5.7102 -1.9277 0.0000 5.7102 1.9277 0.0000 -1.3764 0.0000 5.7963" Properties=species:S:1:pos:R:3 pbc="T T T"
Ca 0.8536 0.0000 1.8444
Ca 9.1904 0.0000 3.9518
Re 3.9087 0.0000 0.7676
Re 6.1353 0.0000 5.0286
N 0.7519 0.0000 5.6131
N 3.4504 0.0000 2.5014
N 5.7102 0.0000 0.0000
N 6.5936 0.0000 3.2949
N 9.2921 0.0000 0.1831
```

Calculated volume = 128 Å³/f.u.
Crystal system = monoclinic
Energy relative to the elements, uncorrected = -415 kJ/mol of formula units
Calculated total energy = -8.314 eV/atom
Mass density = 6.8 g/cm³


No. 4
Nb: optimized geometry, GGA-PBE.

```
4
Lattice="5.3583 0.0000 0.0000 0.0000 5.3583 0.0000 0.0000 0.0000 2.7815" Properties=species:S:1:pos:R:3 pbc="T T T"
Nb 1.0673 1.6119 0.0000
Nb 1.6119 4.2910 0.0000
Nb 3.7464 1.0673 0.0000
Nb 4.2910 3.7464 0.0000
```

Calculated volume = 20 Å³/f.u.
Crystal system = tetragonal
Calculated total energy = -9.279 eV/atom
Mass density = 7.7 g/cm³


No. 5
Dy2TmBe: optimized geometry, GGA-PBE.

```
4
Lattice="3.4613 0.0000 0.0000 0.0000 3.4613 0.0000 0.0000 0.0000 8.4624" Properties=species:S:1:pos:R:3 pbc="T T T"
Dy 0.0000 0.0000 1.6513
Dy 0.0000 0.0000 6.8112
Tm 1.7307 1.7307 4.2312
Be 1.7307 1.7307 0.0000
```

Calculated volume = 101 Å³/f.u.
Crystal system = tetragonal
Calculated total energy = -4.278 eV/atom
Mass density = 8.2 g/cm³


No. 6
Cs2RbMg: optimized geometry, GGA-PBE.

```
8
Lattice="-6.1772 6.1772 4.3723 6.1772 -6.1772 4.3723 6.1772 6.1772 -4.3723" Properties=species:S:1:pos:R:3 pbc="T T T"
Cs 9.2658 2.3504 -1.0931
Cs 2.3504 3.0886 1.0931
Cs -3.0886 3.8269 3.2793
Cs 3.8269 3.0886 5.4654
Rb 6.1772 0.0000 2.1862
Rb 0.0000 0.0000 4.3723
Mg 0.0000 0.0000 0.0000
Mg 0.0000 6.1772 2.1862
```

Calculated volume = 334 Å³/f.u.
Crystal system = tetragonal
Calculated total energy = -0.850 eV/atom
Mass density = 1.9 g/cm³


No. 7
PmNd2SmTm5: optimized geometry, GGA-PBE.

```
18
Lattice="-4.3332 4.3332 7.7255 4.3332 -4.3332 7.7255 4.3332 4.3332 -7.7255" Properties=species:S:1:pos:R:3 pbc="T T T"
Pm 0.0000 0.0000 3.8627
Pm 0.0000 0.0000 11.5882
Nd 5.3487 1.0155 0.0000
Nd 1.0155 3.3177 0.0000
Nd 3.3177 1.0155 7.7255
Nd -1.0155 3.3177 7.7255
Sm 4.3332 0.0000 3.8627
Sm 0.0000 4.3332 3.8627
Tm 0.0000 0.0000 0.0000
Tm 2.5107 1.8225 -2.1324
Tm 2.5107 -1.8225 5.5931
Tm 2.5107 1.8225 2.1324
Tm 2.5107 -1.8225 9.8578
Tm 0.0000 0.0000 7.7255
Tm 1.8225 6.1557 -2.1324
Tm 1.8225 2.5107 5.5931
Tm 1.8225 6.1557 2.1324
Tm 1.8225 2.5107 9.8578
```

Calculated volume = 290 Å³/f.u.
Crystal system = tetragonal
Calculated total energy = -4.340 eV/atom
Mass density = 8.2 g/cm³


No. 8
ZnReSe2: optimized geometry, GGA-PBE.

```
4
Lattice="3.4779 -1.5952 0.0000 3.4779 1.5952 0.0000 -1.6552 0.0000 8.0010" Properties=species:S:1:pos:R:3 pbc="T T T"
Zn 0.0000 0.0000 0.0000
Re 2.6503 0.0000 4.0005
Se 0.5445 0.0000 2.5956
Se 4.7560 0.0000 5.4053
```

Calculated volume = 89 Å³/f.u.
Crystal system = monoclinic
Energy relative to the elements, uncorrected = 66 kJ/mol of formula units
Calculated total energy = -5.003 eV/atom
Mass density = 7.7 g/cm³